Entry 1:
DFT (PBE-GGA) results for HfNiMoAs after structural relaxation.

Unit cell a=6.2843 b=6.2843 c=6.2843 alpha=90.00 beta=90.00 gamma=90.00
Space group F-43m (No. 216)
Symmetry-distinct sites (fractional):
Hf 0.0000 0.0000 0.0000 [4 per cell]
Ni 0.2500 0.2500 0.7500 [4 per cell]
Mo 0.2500 0.2500 0.2500 [4 per cell]
As 0.0000 0.0000 0.5000 [4 per cell]

Calculated values
- E_tot: -0.28479 hartree per atom
- E above lowest polymorph: 0 meV per atom
- Total magnetization: 0.0003 μB/atom

=====

Entry 2:
DFT (PBE-GGA) results for Hf2AsN after structural relaxation.

Unit cell a=3.4001 b=3.4001 c=12.2177 alpha=90.00 beta=90.00 gamma=120.00
Space group P6_3/mmc (No. 194)
Symmetry-distinct sites (fractional):
Hf 0.3333 0.6667 0.0974 [4 per cell]
As 0.3333 0.6667 0.7500 [2 per cell]
N 0.0000 0.0000 0.0000 [2 per cell]

Calculated values
- E_tot: -0.35000 hartree per atom
- Total magnetization: 0.0000 μB/atom

=====

Entry 3:
DFT (PBE-GGA) results for Hf3AsN2 after structural relaxation.

Unit cell a=3.3002 b=3.3002 c=17.7163 alpha=90.00 beta=90.00 gamma=120.00
Space group P6_3/mmc (No. 194)
Symmetry-distinct sites (fractional):
Hf 0.0000 0.0000 0.0000 [2 per cell]
Hf 0.3333 0.6667 0.1424 [4 per cell]
As 0.0000 0.0000 0.2500 [2 per cell]
N 0.3333 0.6667 0.5713 [4 per cell]

Calculated values
- E_tot: -0.36431 hartree per atom
- Total magnetization: 0.0034 μB/atom

=====

Entry 4:
DFT (PBE-GGA) results for Hf2AsN after structural relaxation.

Unit cell a=3.3981 b=3.3981 c=12.2260 alpha=90.00 beta=90.00 gamma=120.00
Space group P6_3/mmc (No. 194)
Symmetry-distinct sites (fractional):
Hf 0.3333 0.6667 0.0974 [4 per cell]
As 0.3333 0.6667 0.7500 [2 per cell]
N 0.0000 0.0000 0.0000 [2 per cell]

Calculated values
- E_tot: -0.34999 hartree per atom
- Total magnetization: 0.0017 μB/atom